TaFeB | GGA-PBE | relaxed

Values from the calculation:
The density is 12.107 g/cm³. As for the electronic total energy: -9.4570 eV per atom. The value obtained for the density of states at the Fermi level is 3.768 states/eV per cell.

Cell: 4.383 3.104 5.125 Å, 90.00 103.12 90.00°
Space group P2_1/m (No. 11)
Asymmetric unit:
1 Ta 0.048 0.250 0.258
2 Fe 0.451 0.250 0.819
3 B 0.395 0.750 0.531

---

TaFeB3 | GGA-PBE | relaxed

Values from the calculation:
The density is 8.808 g/cm³. As for the electronic total energy: -7.4353 eV per atom. The value obtained for the density of states at the Fermi level is 3.807 states/eV per cell.

Cell: 3.703 3.703 3.703 Å, 90.00 90.00 90.00°
Space group Pm-3m (No. 221)
Asymmetric unit:
1 Ta 0.000 0.000 0.000
2 Fe 0.500 0.500 0.500
3 B 0.000 0.500 0.500

---

TaFeB3 | GGA-PBE | relaxed

Values from the calculation:
The density is 6.320 g/cm³. As for the electronic total energy: -6.1226 eV per atom. The value obtained for the density of states at the Fermi level is 4.773 states/eV per cell.

Cell: 4.136 4.136 4.136 Å, 90.00 90.00 90.00°
Space group Pm-3m (No. 221)
Asymmetric unit:
1 Ta 0.000 0.000 0.000
2 Fe 0.500 0.500 0.500
3 B 0.000 0.000 0.500

---

TaFe2B | GGA-PBE | relaxed

Values from the calculation:
The density is 10.812 g/cm³. As for the electronic total energy: -8.8070 eV per atom. The value obtained for the density of states at the Fermi level is 0.842 states/eV per cell.

Cell: 6.309 6.309 4.684 Å, 90.00 90.00 90.00°
Space group I-42d (No. 122)
Asymmetric unit:
1 Ta 0.000 0.000 0.000
2 Fe 0.157 0.250 0.625
3 B 0.000 0.000 0.500

---

Ta3FeB7 | GGA-PBE | relaxed

Values from the calculation:
The density is 11.219 g/cm³. As for the electronic total energy: -8.8776 eV per atom. The value obtained for the density of states at the Fermi level is 11.959 states/eV per cell.

Cell: 3.177 14.345 8.760 Å, 90.00 90.00 90.00°
Space group Cmcm (No. 63)
Asymmetric unit:
1 Ta 0.000 0.107 0.055
2 Ta 0.000 0.249 0.750
3 Fe 0.000 0.050 0.750
4 B 0.000 0.273 0.033
5 B 0.000 0.368 0.151
6 B 0.000 0.432 0.750
7 B 0.000 0.485 0.094

---

Ta2Fe21B6 | GGA-PBE | relaxed

Values from the calculation:
The density is 8.772 g/cm³. As for the electronic total energy: -8.5912 eV per atom. The value obtained for the density of states at the Fermi level is 77.062 states/eV per cell.

Cell: 10.659 10.659 10.659 Å, 90.00 90.00 90.00°
Space group Fm-3m (No. 225)
Asymmetric unit:
1 Ta 0.250 0.250 0.250
2 Fe 0.000 0.000 0.000
3 Fe 0.000 0.171 0.171
4 Fe 0.116 0.116 0.384
5 B 0.000 0.000 0.274

---

Ta3Fe20B6 | GGA-PBE | relaxed

Values from the calculation:
The density is 9.394 g/cm³. As for the electronic total energy: -8.7286 eV per atom. The value obtained for the density of states at the Fermi level is 92.203 states/eV per cell.

Cell: 10.684 10.684 10.684 Å, 90.00 90.00 90.00°
Space group Fm-3m (No. 225)
Asymmetric unit:
1 Ta 0.000 0.000 0.000
2 Ta 0.250 0.250 0.250
3 Fe 0.000 0.173 0.173
4 Fe 0.116 0.116 0.384
5 B 0.000 0.000 0.271

---

TaFe10B3 | GGA-PBE | relaxed

Values from the calculation:
The density is 8.545 g/cm³. As for the electronic total energy: -8.5388 eV per atom. The value obtained for the density of states at the Fermi level is 64.444 states/eV per cell.

Cell: 10.627 10.627 10.627 Å, 90.00 90.00 90.00°
Space group Fm-3m (No. 225)
Asymmetric unit:
1 Ta 0.250 0.250 0.250
2 Fe 0.000 0.168 0.168
3 Fe 0.116 0.116 0.384
4 B 0.000 0.000 0.275

---

TaFeB | GGA-PBE | relaxed

Values from the calculation:
The density is 12.328 g/cm³. As for the electronic total energy: -9.5227 eV per atom. The value obtained for the density of states at the Fermi level is 8.629 states/eV per cell.

Cell: 3.101 4.918 8.750 Å, 90.00 90.00 90.00°
Space group Immm (No. 71)
Asymmetric unit:
1 Ta 0.000 0.000 0.196
2 Fe 0.000 0.240 0.500
3 B 0.000 0.500 0.102

---

TaFeB2 | GGA-PBE | relaxed

Values from the calculation:
The density is 9.687 g/cm³. As for the electronic total energy: -8.2772 eV per atom. The value obtained for the density of states at the Fermi level is 9.708 states/eV per cell.

Cell: 3.582 3.582 13.811 Å, 90.00 90.00 90.00°
Space group I4_1/amd (No. 141, origin choice 2)
Asymmetric unit:
1 Ta 0.000 0.250 0.375
2 Fe 0.000 0.250 0.875
3 B 0.000 0.000 0.000

---

TaFeB | GGA-PBE | relaxed

Values from the calculation:
The density is 12.460 g/cm³. As for the electronic total energy: -9.6054 eV per atom. The value obtained for the density of states at the Fermi level is 7.517 states/eV per cell.

Cell: 10.374 3.183 5.996 Å, 90.00 90.00 90.00°
Space group Pmma (No. 51)
Asymmetric unit:
1 Ta 0.045 0.000 0.241
2 Ta 0.250 0.000 0.859
3 Fe 0.129 0.500 0.574
4 Fe 0.250 0.500 0.211
5 B 0.087 0.500 0.951
6 B 0.250 0.000 0.450

---

TaFe2B4 | GGA-PBE | relaxed

Values from the calculation:
The density is 9.289 g/cm³. As for the electronic total energy: -8.4334 eV per atom. The value obtained for the density of states at the Fermi level is 7.761 states/eV per cell.

Cell: 3.000 3.181 12.584 Å, 90.00 90.00 90.00°
Space group Immm (No. 71)
Asymmetric unit:
1 Ta 0.000 0.000 0.000
2 Fe 0.000 0.500 0.314
3 B 0.000 0.000 0.425
4 B 0.000 0.500 0.151

---

Q: Number 4 is which compound?
A: TaFe2B